YCd3Cu: optimized geometry, PBE.

abc: 4.9289 4.9289 4.9289
angles: 90.00 90.00 90.00
Last column: nearest neighbours and their distance in Å.
Sites, in units of the cell vectors:
Y 0.0000 0.0000 0.0000  12 Cd 3.49
Cd 0.0000 0.5000 0.5000  2 Cu 2.46
Cd 0.5000 0.0000 0.5000  2 Cu 2.46
Cd 0.5000 0.5000 0.0000  2 Cu 2.46
Cu 0.5000 0.5000 0.5000  6 Cd 2.46

DOS(E_F) = 0.8894 states/eV per atom
Relative energy among the computed polymorphs = 0 meV per atom
DFT formation energy = 31.3 meV per atom
E_tot = -0.0966 hartree per atom
SG = Pm-3m (221)


YCdCu10: optimized geometry, PBE.

abc: 4.0872 4.9811 8.6409
angles: 90.00 90.00 90.00
Last column: nearest neighbours and their distance in Å.
Sites, in units of the cell vectors:
Y 0.0000 0.0000 0.0000  18 Cu 2.93-3.22
Cd 0.0000 0.5000 0.5000  6 Cu 2.78-2.84
Cu 0.0000 0.0000 0.3424  7 Cu 2.46-2.72
Cu 0.0000 0.0000 0.6576  7 Cu 2.46-2.72
Cu 0.0000 0.5000 0.1783  6 Cu 2.48-2.56
Cu 0.0000 0.5000 0.8217  6 Cu 2.48-2.56
Cu 0.5000 0.0000 0.5000  8 Cu 2.46-2.50
Cu 0.5000 0.2469 0.2487  8 Cu 2.46-2.52
Cu 0.5000 0.2469 0.7513  8 Cu 2.46-2.52
Cu 0.5000 0.5000 0.0000  8 Cu 2.49-2.56
Cu 0.5000 0.7531 0.2487  8 Cu 2.46-2.52
Cu 0.5000 0.7531 0.7513  8 Cu 2.46-2.52

DOS(E_F) = 0.4667 states/eV per atom
DFT formation energy = -63.8 meV per atom
E_tot = -0.1504 hartree per atom
SG = Pmmm (47)


Y4CdCu: optimized geometry, PBE.

abc: 3.5468 3.5468 12.8429
angles: 90.00 90.00 90.00
Last column: nearest neighbours and their distance in Å.
Sites, in units of the cell vectors:
Y 0.0000 0.0000 0.1333  4 Cu 3.04
Y 0.0000 0.0000 0.8667  4 Cu 3.04
Y 0.5000 0.5000 0.3363  4 Cd 3.27, 8 Y 3.55-3.62
Y 0.5000 0.5000 0.6637  4 Cd 3.27, 8 Y 3.55-3.62
Cd 0.0000 0.0000 0.5000  8 Y 3.27, 4 Cd 3.55
Cu 0.5000 0.5000 0.0000  8 Y 3.04

DOS(E_F) = 1.1014 states/eV per atom
Relative energy among the computed polymorphs = 0 meV per atom
DFT formation energy = -168.2 meV per atom
E_tot = -0.1952 hartree per atom
SG = P4/mmm (123)